MnTc2F: relaxed, GGA+U.

Structure (extended XYZ):
```
4
Lattice="0.0000 3.0112 3.0112 3.0112 0.0000 3.0112 3.0112 3.0112 0.0000" Properties=species:S:1:pos:R:3 pbc="T T T"
Mn 3.0112 3.0112 3.0112
Tc 1.5056 1.5056 1.5056
Tc 4.5168 4.5168 4.5168
F 0.0000 0.0000 0.0000
```

The calculation puts the calculated volume at 54.61 Å³/f.u. As for the energy relative to the lowest polymorph listed for this composition: 0 meV/atom.